No. 1
{"formula": "TaTl2Bi", "functional": "PBE-GGA", "state": "optimized geometry", "dft_energy_ev_per_atom": -4.360, "polymorph_energy_mev_per_atom": 0, "sg": "I-42d, No. 122", "total_magnetization_mub_per_cell": 1.103, "mass_density_g_cm3": 12.45, "ef_kj_per_mol_fu": 292, "lattice_angstrom": [[4.305, 0.000, 0.000], [0.000, 4.305, 0.000], [2.152, 2.152, 11.500]], "species": ["Tl", "Tl", "Tl", "Tl", "Bi", "Bi", "Ta", "Ta"], "fractional_positions": [[0.612, 0.125, 0.250], [0.138, 0.625, 0.250], [0.375, 0.388, 0.750], [0.875, 0.862, 0.750], [0.000, 0.000, 0.000], [0.750, 0.250, 0.500], [0.500, 0.500, 0.000], [0.250, 0.750, 0.500]]}

No. 2
{"formula": "TaTlBi2", "functional": "PBE-GGA", "state": "optimized geometry", "dft_energy_ev_per_atom": -4.811, "polymorph_energy_mev_per_atom": 16, "sg": "I-42d, No. 122", "total_magnetization_mub_per_cell": 0.000, "mass_density_g_cm3": 8.00, "ef_kj_per_mol_fu": 264, "lattice_angstrom": [[-6.769, -0.314, -2.139], [-1.180, -5.353, 4.520], [-5.658, 1.499, 5.883]], "species": ["Tl", "Tl", "Bi", "Bi", "Bi", "Bi", "Ta", "Ta"], "fractional_positions": [[0.000, 0.000, 0.000], [0.750, 0.250, 0.500], [0.554, 0.125, 0.250], [0.196, 0.625, 0.250], [0.375, 0.446, 0.750], [0.875, 0.804, 0.750], [0.500, 0.500, 0.000], [0.250, 0.750, 0.500]]}

No. 3
{"formula": "Ta2TlBi", "functional": "PBE-GGA", "state": "optimized geometry", "dft_energy_ev_per_atom": -6.613, "polymorph_energy_mev_per_atom": 104, "sg": "I-42d, No. 122", "total_magnetization_mub_per_cell": 0.000, "mass_density_g_cm3": 13.59, "ef_kj_per_mol_fu": 338, "lattice_angstrom": [[-0.185, 4.089, -1.151], [-0.141, -1.157, -4.089], [-10.624, 1.122, -2.162]], "species": ["Tl", "Tl", "Bi", "Bi", "Ta", "Ta", "Ta", "Ta"], "fractional_positions": [[0.500, 0.500, 0.000], [0.250, 0.750, 0.500], [0.000, 0.000, 0.000], [0.750, 0.250, 0.500], [0.603, 0.125, 0.250], [0.147, 0.625, 0.250], [0.375, 0.397, 0.750], [0.875, 0.853, 0.750]]}

Please write out number 2 again, unchanged.
{"formula": "TaTlBi2", "functional": "PBE-GGA", "state": "optimized geometry", "dft_energy_ev_per_atom": -4.811, "polymorph_energy_mev_per_atom": 16, "sg": "I-42d, No. 122", "total_magnetization_mub_per_cell": 0.000, "mass_density_g_cm3": 8.00, "ef_kj_per_mol_fu": 264, "lattice_angstrom": [[-6.769, -0.314, -2.139], [-1.180, -5.353, 4.520], [-5.658, 1.499, 5.883]], "species": ["Tl", "Tl", "Bi", "Bi", "Bi", "Bi", "Ta", "Ta"], "fractional_positions": [[0.000, 0.000, 0.000], [0.750, 0.250, 0.500], [0.554, 0.125, 0.250], [0.196, 0.625, 0.250], [0.375, 0.446, 0.750], [0.875, 0.804, 0.750], [0.500, 0.500, 0.000], [0.250, 0.750, 0.500]]}

Which formula does entry 1 have? TaTl2Bi